# PBE-GGA FeTe2Br, optimized geometry
# offset from the most stable computed form = 53.7 kJ/mol of atoms
# formation energy (no corrections) = 469 meV/atom
# symmetry = No. 166
data_FeTe2Br
_symmetry_space_group_name_H-M 'P 1'
_symmetry_Int_Tables_number 1
_cell_length_a 12.317
_cell_length_b 12.317
_cell_length_c 12.317
_cell_angle_alpha 15.00
_cell_angle_beta 15.00
_cell_angle_gamma 15.00
loop_
_symmetry_equiv_pos_as_xyz
'x,y,z'
loop_
_atom_site_label
_atom_site_type_symbol
_atom_site_fract_x
_atom_site_fract_y
_atom_site_fract_z
Te1 Te 0.930 0.930 0.930
Te2 Te 0.070 0.070 0.070
Fe1 Fe 0.000 0.000 0.000
Br1 Br 0.500 0.500 0.500

***

# PBE-GGA FeTe2Br, optimized geometry
# offset from the most stable computed form = 67.5 kJ/mol of atoms
# formation energy (no corrections) = 612 meV/atom
# symmetry = No. 216
data_FeTe2Br
_symmetry_space_group_name_H-M 'P 1'
_symmetry_Int_Tables_number 1
_cell_length_a 5.142
_cell_length_b 5.142
_cell_length_c 5.142
_cell_angle_alpha 60.00
_cell_angle_beta 60.00
_cell_angle_gamma 60.00
loop_
_symmetry_equiv_pos_as_xyz
'x,y,z'
loop_
_atom_site_label
_atom_site_type_symbol
_atom_site_fract_x
_atom_site_fract_y
_atom_site_fract_z
Br1 Br 0.500 0.500 0.500
Fe1 Fe 0.750 0.750 0.750
Te1 Te 0.000 0.000 0.000
Te2 Te 0.250 0.250 0.250

***

# PBE-GGA FeTe2Br, optimized geometry
# offset from the most stable computed form = 8.0 kJ/mol of atoms
# formation energy (no corrections) = -5 meV/atom
# symmetry = No. 6
data_FeTe2Br
_symmetry_space_group_name_H-M 'P 1'
_symmetry_Int_Tables_number 1
_cell_length_a 3.349
_cell_length_b 6.020
_cell_length_c 7.022
_cell_angle_alpha 79.41
_cell_angle_beta 90.00
_cell_angle_gamma 90.00
loop_
_symmetry_equiv_pos_as_xyz
'x,y,z'
loop_
_atom_site_label
_atom_site_type_symbol
_atom_site_fract_x
_atom_site_fract_y
_atom_site_fract_z
Br1 Br 0.000 0.609 0.581
Fe1 Fe 0.500 0.659 0.828
Te1 Te 0.000 0.904 0.983
Te2 Te 0.500 0.328 0.108

***

# PBE-GGA Fe2TeBr, optimized geometry
# offset from the most stable computed form = 47.8 kJ/mol of atoms
# formation energy (no corrections) = 419 meV/atom
# symmetry = No. 10
data_Fe2TeBr
_symmetry_space_group_name_H-M 'P 1'
_symmetry_Int_Tables_number 1
_cell_length_a 3.770
_cell_length_b 6.853
_cell_length_c 5.526
_cell_angle_alpha 35.85
_cell_angle_beta 90.00
_cell_angle_gamma 90.00
loop_
_symmetry_equiv_pos_as_xyz
'x,y,z'
loop_
_atom_site_label
_atom_site_type_symbol
_atom_site_fract_x
_atom_site_fract_y
_atom_site_fract_z
Br1 Br 0.000 0.000 0.500
Fe1 Fe 0.000 0.000 0.000
Fe2 Fe 0.500 0.500 0.000
Te1 Te 0.500 0.500 0.500

***

# PBE-GGA Fe2TeBr8, optimized geometry
# formation energy (no corrections) = -390 meV/atom
# symmetry = No. 12
data_Fe2TeBr8
_symmetry_space_group_name_H-M 'P 1'
_symmetry_Int_Tables_number 1
_cell_length_a 7.997
_cell_length_b 7.908
_cell_length_c 7.908
_cell_angle_alpha 73.84
_cell_angle_beta 91.29
_cell_angle_gamma 91.29
loop_
_symmetry_equiv_pos_as_xyz
'x,y,z'
loop_
_atom_site_label
_atom_site_type_symbol
_atom_site_fract_x
_atom_site_fract_y
_atom_site_fract_z
Fe1 Fe 0.690 0.805 0.805
Fe2 Fe 0.310 0.195 0.195
Te1 Te 0.000 0.000 0.000
Br1 Br 0.235 0.266 0.879
Br2 Br 0.765 0.121 0.734
Br3 Br 0.407 0.768 0.768
Br4 Br 0.593 0.232 0.232
Br5 Br 0.235 0.879 0.266
Br6 Br 0.765 0.734 0.121
Br7 Br 0.860 0.662 0.662
Br8 Br 0.140 0.338 0.338

***

# PBE-GGA FeTe3Br, optimized geometry
# offset from the most stable computed form = 83.3 kJ/mol of atoms
# formation energy (no corrections) = 1256 meV/atom
# symmetry = No. 221
data_FeTe3Br
_symmetry_space_group_name_H-M 'P 1'
_symmetry_Int_Tables_number 1
_cell_length_a 5.538
_cell_length_b 5.538
_cell_length_c 5.538
_cell_angle_alpha 90.00
_cell_angle_beta 90.00
_cell_angle_gamma 90.00
loop_
_symmetry_equiv_pos_as_xyz
'x,y,z'
loop_
_atom_site_label
_atom_site_type_symbol
_atom_site_fract_x
_atom_site_fract_y
_atom_site_fract_z
Te1 Te 0.000 0.500 0.000
Te2 Te 0.000 0.000 0.500
Te3 Te 0.500 0.000 0.000
Fe1 Fe 0.500 0.500 0.500
Br1 Br 0.000 0.000 0.000

***

# PBE-GGA Fe4TeBr, optimized geometry
# formation energy (no corrections) = 565 meV/atom
# symmetry = No. 216
data_Fe4TeBr
_symmetry_space_group_name_H-M 'P 1'
_symmetry_Int_Tables_number 1
_cell_length_a 5.213
_cell_length_b 5.213
_cell_length_c 5.213
_cell_angle_alpha 60.00
_cell_angle_beta 60.00
_cell_angle_gamma 60.00
loop_
_symmetry_equiv_pos_as_xyz
'x,y,z'
loop_
_atom_site_label
_atom_site_type_symbol
_atom_site_fract_x
_atom_site_fract_y
_atom_site_fract_z
Fe1 Fe 0.873 0.376 0.376
Fe2 Fe 0.376 0.376 0.873
Fe3 Fe 0.376 0.873 0.376
Fe4 Fe 0.376 0.376 0.376
Te1 Te 0.750 0.750 0.750
Br1 Br 0.000 0.000 0.000

***

# PBE-GGA Fe2TeBr, optimized geometry
# offset from the most stable computed form = 90.5 kJ/mol of atoms
# formation energy (no corrections) = 862 meV/atom
# symmetry = No. 225
data_Fe2TeBr
_symmetry_space_group_name_H-M 'P 1'
_symmetry_Int_Tables_number 1
_cell_length_a 4.483
_cell_length_b 4.483
_cell_length_c 4.483
_cell_angle_alpha 60.00
_cell_angle_beta 60.00
_cell_angle_gamma 60.00
loop_
_symmetry_equiv_pos_as_xyz
'x,y,z'
loop_
_atom_site_label
_atom_site_type_symbol
_atom_site_fract_x
_atom_site_fract_y
_atom_site_fract_z
Te1 Te 0.500 0.500 0.500
Fe1 Fe 0.250 0.250 0.250
Fe2 Fe 0.750 0.750 0.750
Br1 Br 0.000 0.000 0.000

***

# PBE-GGA Fe2TeBr, optimized geometry
# offset from the most stable computed form = 15.4 kJ/mol of atoms
# formation energy (no corrections) = 83 meV/atom
# symmetry = No. 8
data_Fe2TeBr
_symmetry_space_group_name_H-M 'P 1'
_symmetry_Int_Tables_number 1
_cell_length_a 4.392
_cell_length_b 4.392
_cell_length_c 7.036
_cell_angle_alpha 84.04
_cell_angle_beta 84.04
_cell_angle_gamma 46.82
loop_
_symmetry_equiv_pos_as_xyz
'x,y,z'
loop_
_atom_site_label
_atom_site_type_symbol
_atom_site_fract_x
_atom_site_fract_y
_atom_site_fract_z
Br1 Br 0.243 0.243 0.128
Fe1 Fe 0.038 0.038 0.904
Fe2 Fe 0.746 0.746 0.826
Te1 Te 0.473 0.473 0.642

***

# PBE-GGA Fe2TeBr6, optimized geometry
# formation energy (no corrections) = -318 meV/atom
# symmetry = No. 2
data_Fe2TeBr6
_symmetry_space_group_name_H-M 'P 1'
_symmetry_Int_Tables_number 1
_cell_length_a 3.701
_cell_length_b 6.479
_cell_length_c 18.532
_cell_angle_alpha 130.41
_cell_angle_beta 84.99
_cell_angle_gamma 89.69
loop_
_symmetry_equiv_pos_as_xyz
'x,y,z'
loop_
_atom_site_label
_atom_site_type_symbol
_atom_site_fract_x
_atom_site_fract_y
_atom_site_fract_z
Fe1 Fe 0.874 0.647 0.777
Fe2 Fe 0.126 0.353 0.223
Te1 Te 0.000 0.000 0.500
Br1 Br 0.374 0.409 0.782
Br2 Br 0.626 0.591 0.218
Br3 Br 0.188 0.897 0.094
Br4 Br 0.940 0.562 0.628
Br5 Br 0.812 0.103 0.906
Br6 Br 0.060 0.438 0.372

***

# PBE-GGA Fe2TeBr, optimized geometry
# offset from the most stable computed form = 0.0 kJ/mol of atoms
# formation energy (no corrections) = -77 meV/atom
# symmetry = No. 99
data_Fe2TeBr
_symmetry_space_group_name_H-M 'P 1'
_symmetry_Int_Tables_number 1
_cell_length_a 3.621
_cell_length_b 3.626
_cell_length_c 7.393
_cell_angle_alpha 89.99
_cell_angle_beta 90.00
_cell_angle_gamma 90.00
loop_
_symmetry_equiv_pos_as_xyz
'x,y,z'
loop_
_atom_site_label
_atom_site_type_symbol
_atom_site_fract_x
_atom_site_fract_y
_atom_site_fract_z
Br1 Br 0.500 0.875 0.874
Fe1 Fe 0.000 0.875 0.123
Fe2 Fe 0.500 0.375 0.123
Te1 Te 0.000 0.375 0.380

***

# PBE-GGA Fe2TeBr, optimized geometry
# offset from the most stable computed form = 62.2 kJ/mol of atoms
# formation energy (no corrections) = 568 meV/atom
# symmetry = No. 122
data_Fe2TeBr
_symmetry_space_group_name_H-M 'P 1'
_symmetry_Int_Tables_number 1
_cell_length_a 5.490
_cell_length_b 5.490
_cell_length_c 6.764
_cell_angle_alpha 66.05
_cell_angle_beta 66.05
_cell_angle_gamma 90.00
loop_
_symmetry_equiv_pos_as_xyz
'x,y,z'
loop_
_atom_site_label
_atom_site_type_symbol
_atom_site_fract_x
_atom_site_fract_y
_atom_site_fract_z
Te1 Te 0.000 0.000 0.000
Te2 Te 0.750 0.250 0.500
Fe1 Fe 0.599 0.125 0.250
Fe2 Fe 0.151 0.625 0.250
Fe3 Fe 0.375 0.401 0.750
Fe4 Fe 0.875 0.849 0.750
Br1 Br 0.500 0.500 0.000
Br2 Br 0.250 0.750 0.500